This record from Alexandria via LeMat-Bulk describes GaP2IrO after structural relaxation. The functional is PBE.

The space group is P4/mmm (No. 123) and the conventional cell measures 4.7951, 4.7951 and 3.4323 Å, with angles of 90.00, 90.00 and 90.00 degrees. The asymmetric unit holds Ga at (0.0000, 0.0000, 0.0000), P at (0.0000, 0.5000, 0.0000), Ir at (0.5000, 0.5000, 0.5000) and O at (0.0000, 0.0000, 0.5000).

For the formation energy from raw total energies, the calculation gives 0.6882 eV/atom. For the energy above the most stable polymorph in this dataset, the calculation gives 454 meV per atom.


This record from Alexandria via LeMat-Bulk describes GaP2IrO after structural relaxation. The functional is PBE.

The space group is P4/mmm (No. 123) and the conventional cell measures 4.8690, 4.8690 and 3.6922 Å, with angles of 90.00, 90.00 and 90.00 degrees. The asymmetric unit holds Ga at (0.0000, 0.0000, 0.0000), P at (0.0000, 0.5000, 0.5000), Ir at (0.5000, 0.5000, 0.5000) and O at (0.5000, 0.5000, 0.0000).

For the formation energy from raw total energies, the calculation gives 0.2342 eV/atom. For the energy above the most stable polymorph in this dataset, the calculation gives 0 meV per atom.


This record from Alexandria via LeMat-Bulk describes PaGaIrO6 after structural relaxation. The functional is PBE.

The space group is P-31c (No. 163) and the conventional cell measures 5.2634, 5.2634 and 9.0317 Å, with angles of 90.00, 90.00 and 120.00 degrees. The asymmetric unit holds Pa at (0.3333, 0.6667, 0.2500), Ga at (0.0000, 0.0000, 0.0000), Ir at (0.3333, 0.6667, 0.7500) and O at (0.0239, 0.3368, 0.6227).

For the formation energy from raw total energies, the calculation gives -1.9691 eV/atom.


This record from Alexandria via LeMat-Bulk describes GaIrPdO6 after structural relaxation. The functional is PBE.

The space group is P-31c (No. 163) and the conventional cell measures 5.1063, 5.1063 and 8.6448 Å, with angles of 90.00, 90.00 and 120.00 degrees. The asymmetric unit holds Ga at (0.3333, 0.6667, 0.2500), Ir at (0.3333, 0.6667, 0.7500), Pd at (0.0000, 0.0000, 0.0000) and O at (0.0037, 0.3543, 0.6271).

For the formation energy from raw total energies, the calculation gives -0.7944 eV/atom.


This record from Alexandria via LeMat-Bulk describes Pr2GaIrO6 after structural relaxation. The functional is PBE.

The space group is Pmmn (No. 59, origin choice 2) and the conventional cell measures 5.4684, 7.9201 and 5.8041 Å, with angles of 90.00, 90.00 and 90.00 degrees. The asymmetric unit holds Pr at (0.2500, 0.0217, 0.2224), Ga at (0.2500, 0.7500, 0.7477), Ir at (0.2500, 0.2500, 0.7398), O at (0.0101, 0.2500, 0.0094), O at (0.0182, 0.2500, 0.4621) and O at (0.2500, 0.5058, 0.7872).

For the formation energy from raw total energies, the calculation gives -2.0965 eV/atom.


This record from Alexandria via LeMat-Bulk describes PrGa2IrO8 after structural relaxation. The functional is PBE.

The space group is P2/m (No. 10) and the conventional cell measures 4.6769, 6.5970 and 4.7527 Å, with angles of 90.00, 91.51 and 90.00 degrees. The asymmetric unit holds Pr at (0.0000, 0.0000, 0.0000), Ga at (0.5000, 0.2570, 0.5000), Ir at (0.0000, 0.5000, 0.0000), O at (0.2233, 0.2915, 0.1934), O at (0.2753, 0.5000, 0.6995) and O at (0.3189, 0.0000, 0.6498).

For the formation energy from raw total energies, the calculation gives -1.4784 eV/atom.


This record from Alexandria via LeMat-Bulk describes GaIrPtO6 after structural relaxation. The functional is PBE.

The space group is P-31c (No. 163) and the conventional cell measures 5.1015, 5.1015 and 8.5220 Å, with angles of 90.00, 90.00 and 120.00 degrees. The asymmetric unit holds Ga at (0.3333, 0.6667, 0.2500), Ir at (0.3333, 0.6667, 0.7500), Pt at (0.0000, 0.0000, 0.0000) and O at (0.9999, 0.3464, 0.6253).

For the formation energy from raw total energies, the calculation gives -0.8344 eV/atom.


This record from Alexandria via LeMat-Bulk describes PuGaIrO6 after structural relaxation. The functional is PBE.

The space group is P-31c (No. 163) and the conventional cell measures 5.2449, 5.2449 and 8.7647 Å, with angles of 90.00, 90.00 and 120.00 degrees. The asymmetric unit holds Pu at (0.3333, 0.6667, 0.2500), Ga at (0.3333, 0.6667, 0.7500), Ir at (0.0000, 0.0000, 0.0000) and O at (0.0146, 0.3352, 0.6251).

For the formation energy from raw total energies, the calculation gives -1.6601 eV/atom.